Here is an optimized crystal structure of Y2SnNF from Alexandria. Energies are from PBE. Values from VASP.

Structure (Quantum ESPRESSO input):
```
&SYSTEM
  ibrav = 0, nat = 5, ntyp = 4
/
ATOMIC_SPECIES
Y 88.91 Y.upf
N 14.01 N.upf
Sn 118.71 Sn.upf
F 19.00 F.upf
CELL_PARAMETERS angstrom
4.600 0.000 0.000
0.000 4.653 0.000
0.000 0.000 4.600
ATOMIC_POSITIONS crystal
Y 0.000 0.000 0.500
Y 0.500 0.000 0.000
N 0.000 0.500 0.000
Sn 0.500 0.500 0.500
F 0.000 0.000 0.000
```

Formation energy (no corrections) = -0.4280 eV/atom
Symmetry = P4/mmm
Total magnetization = 0.000 μB/f.u.